# Ca2VBiO6 (PBE with a Hubbard U, relaxed)
# V, Å³ per cell: 306
# Electronic total energy, eV/cell: -136.737
# Space group: No. 36
# Density, g/cm3: 4.7
data_Ca2VBiO6
_chemical_formula_sum 'Ca4 V2 Bi2 O12'
_space_group_name_H-M_alt 'P 1'
_space_group_IT_number 1
_space_group_name_Hall 'P 1'
_cell_length_a 7.5486
_cell_length_b 7.5486
_cell_length_c 5.6014
_cell_angle_alpha 90.00
_cell_angle_beta 90.00
_cell_angle_gamma 106.61
loop_
_atom_site_label
_atom_site_type_symbol
_atom_site_fract_x
_atom_site_fract_y
_atom_site_fract_z
Ca1 Ca 0.9091 0.6955 0.7575
Ca2 Ca 0.0909 0.3045 0.2575
Ca3 Ca 0.3045 0.0909 0.7575
Ca4 Ca 0.6955 0.9091 0.2575
O1 O 0.6592 0.6477 0.5014
O2 O 0.3523 0.3408 0.5014
O3 O 0.0555 0.9445 0.4428
O4 O 0.4058 0.9057 0.4261
O5 O 0.5942 0.0943 0.9261
O6 O 0.6477 0.6592 0.0014
O7 O 0.3408 0.3523 0.0014
O8 O 0.9445 0.0555 0.9428
O9 O 0.8175 0.1825 0.4936
O10 O 0.9057 0.4058 0.9261
O11 O 0.1825 0.8175 0.9936
O12 O 0.0943 0.5942 0.4261
V1 V 0.8148 0.1852 0.8065
V2 V 0.1852 0.8148 0.3065
Bi1 Bi 0.4107 0.5893 0.7390
Bi2 Bi 0.5893 0.4107 0.2390